# 1
A geometry-optimized InOs2Pb structure. Source: Alexandria via LeMat-Bulk, functional PBE-GGA.

* formation enthalpy at 0 K: 1.0413 eV/atom
* E_tot: -49.48 eV for the cell shown
* volume: 18.75 Å³ per atom

Lattice parameters (Å, degrees): 3.153 5.226 9.102 90.00 90.00 90.00
Space group Cmmm (No. 65)
Symmetry-distinct sites (fractional):
In: 0.000 0.000 0.000 (multiplicity 2)
Os: 0.000 0.500 0.244 (multiplicity 4)
Pb: 0.000 0.000 0.500 (multiplicity 2)



# 2
A geometry-optimized NaFeSnCl5 structure. Source: Alexandria via LeMat-Bulk, functional PBE-GGA.

* E_tot: -124.49 eV for the cell shown
* volume: 28.52 Å³ per atom
* energy relative to the elements, uncorrected: -1.013 eV/atom

Lattice parameters (Å, degrees): 9.933 13.274 7.481 90.00 112.28 90.00
Space group C2/c (No. 15)
Symmetry-distinct sites (fractional):
Na: 0.250 0.250 0.000 (multiplicity 4)
Fe: 0.000 0.002 0.250 (multiplicity 4)
Sn: 0.000 0.465 0.250 (multiplicity 4)
Cl: 0.000 0.343 0.750 (multiplicity 4)
Cl: 0.005 0.124 0.006 (multiplicity 8)
Cl: 0.225 0.490 0.111 (multiplicity 8)



# 3
A geometry-optimized DyFeW structure. Source: Alexandria via LeMat-Bulk, functional PBE-GGA.

* formation enthalpy at 0 K: 0.6524 eV/atom
* E_tot: -384.97 eV for the cell shown
* volume: 19.74 Å³ per atom

Lattice parameters (Å, degrees): 4.564 9.950 20.867 90.00 90.00 90.00
Space group Fddd (No. 70, origin choice 2)
Symmetry-distinct sites (fractional):
Dy: 0.125 0.270 0.125 (multiplicity 16)
Fe: 0.125 0.125 0.540 (multiplicity 16)
W: 0.125 0.125 0.254 (multiplicity 16)



# 4
A geometry-optimized Ac3LaPm2 structure. Source: Alexandria via LeMat-Bulk, functional PBE-GGA.

* formation enthalpy at 0 K: 0.3257 eV/atom
* E_tot: -49.60 eV for the cell shown
* volume: 40.96 Å³ per atom

Lattice parameters (Å, degrees): 3.710 6.374 20.787 90.00 90.00 90.00
Space group Immm (No. 71)
Symmetry-distinct sites (fractional):
Ac: 0.000 0.000 0.000 (multiplicity 2)
Ac: 0.000 0.500 0.188 (multiplicity 4)
La: 0.000 0.500 0.000 (multiplicity 2)
Pm: 0.000 0.500 0.362 (multiplicity 4)



# 5
A geometry-optimized CaH12S2O9 structure. Source: Alexandria via LeMat-Bulk, functional PBE-GGA.

* E_tot: -248.58 eV for the cell shown
* volume: 9.64 Å³ per atom

Lattice parameters (Å, degrees): 5.844 7.545 11.122 72.43 81.58 87.83
Space group P-1 (No. 2)
Symmetry-distinct sites (fractional):
Ca: 0.089 0.386 0.265 (multiplicity 2)
H: 0.018 0.222 0.899 (multiplicity 2)
H: 0.028 0.039 0.618 (multiplicity 2)
H: 0.072 0.329 0.551 (multiplicity 2)
H: 0.133 0.970 0.746 (multiplicity 2)
H: 0.172 0.733 0.471 (multiplicity 2)
H: 0.189 0.670 0.931 (multiplicity 2)
H: 0.251 0.778 0.106 (multiplicity 2)
H: 0.294 0.406 0.992 (multiplicity 2)
H: 0.346 0.202 0.076 (multiplicity 2)
H: 0.360 0.670 0.805 (multiplicity 2)
H: 0.443 0.063 0.353 (multiplicity 2)
H: 0.465 0.218 0.418 (multiplicity 2)
S: 0.379 0.103 0.854 (multiplicity 2)
S: 0.446 0.301 0.682 (multiplicity 2)
O: 0.004 0.736 0.498 (multiplicity 2)
O: 0.035 0.930 0.694 (multiplicity 2)
O: 0.127 0.708 0.089 (multiplicity 2)
O: 0.223 0.606 0.864 (multiplicity 2)
O: 0.229 0.406 0.653 (multiplicity 2)
O: 0.298 0.326 0.080 (multiplicity 2)
O: 0.368 0.575 0.314 (multiplicity 2)
O: 0.434 0.199 0.338 (multiplicity 2)
O: 0.476 0.796 0.416 (multiplicity 2)



# 6
A geometry-optimized Na2CdCuAs2 structure. Source: Alexandria via LeMat-Bulk, functional PBE-GGA.

* formation enthalpy at 0 K: -0.2882 eV/atom
* E_tot: -74.71 eV for the cell shown
* volume: 21.52 Å³ per atom

Lattice parameters (Å, degrees): 5.914 14.537 6.007 90.00 90.00 90.00
Space group Ibam (No. 72)
Symmetry-distinct sites (fractional):
Na: 0.235 0.177 0.000 (multiplicity 8)
Cd: 0.000 0.000 0.250 (multiplicity 4)
Cu: 0.000 0.500 0.250 (multiplicity 4)
As: 0.216 0.389 0.000 (multiplicity 8)



> Which formula does entry 6 have?

Na2CdCuAs2



> Among the records above, which one has the highest E_tot?

InOs2Pb